DFT (PBE-GGA) results for a relaxed LiNd2Ga2Rh5 crystal. Values from VASP.

Quantum ESPRESSO input file:
```
&SYSTEM
  ibrav = 0, nat = 20, ntyp = 4
/
ATOMIC_SPECIES
Li 6.94 Li.upf
Nd 144.24 Nd.upf
Ga 69.72 Ga.upf
Rh 102.91 Rh.upf
ATOMIC_POSITIONS angstrom
Li 0.000 0.000 0.000
Li 4.983 4.983 0.000
Nd 1.740 3.243 0.000
Nd 3.243 8.226 0.000
Nd 6.723 1.740 0.000
Nd 8.226 6.723 0.000
Ga 1.243 6.226 0.000
Ga 3.740 1.243 0.000
Ga 6.226 8.723 0.000
Ga 8.723 3.740 0.000
Rh 0.000 4.983 1.770
Rh 0.643 7.927 1.770
Rh 2.039 0.643 1.770
Rh 2.944 5.626 1.770
Rh 4.340 2.944 1.770
Rh 4.983 0.000 1.770
Rh 5.626 7.022 1.770
Rh 7.022 4.340 1.770
Rh 7.927 9.323 1.770
Rh 9.323 2.039 1.770
CELL_PARAMETERS angstrom
9.966 0.000 0.000
0.000 9.966 0.000
0.000 0.000 3.541
```

**Formation enthalpy at 0 K**: -0.57 eV per atom
**N(E_F)**: 0.34 states/eV per atom
**Spin magnetization**: 0.0 Bohr magnetons per cell

DFT (PBE-GGA) results for a relaxed Er6P5Se crystal. Values from VASP.

Quantum ESPRESSO input file:
```
&SYSTEM
  ibrav = 0, nat = 12, ntyp = 3
/
ATOMIC_SPECIES
Er 167.26 Er.upf
P 30.97 P.upf
Se 78.96 Se.upf
ATOMIC_POSITIONS angstrom
Er -0.034 2.047 4.840
Er 1.083 0.000 1.659
Er -0.034 -2.047 4.840
Er 4.631 2.047 1.661
Er 3.514 0.000 4.842
Er 4.631 -2.047 1.661
P -1.149 0.000 3.251
P 3.447 3.972 0.000
P 2.298 1.957 3.251
P 2.298 -1.957 3.251
P 3.447 -3.972 0.000
Se 3.447 0.000 0.000
CELL_PARAMETERS angstrom
3.447 -5.966 0.000
3.447 5.966 0.000
-2.298 0.000 6.501
```

**N(E_F)**: 0.20 states/eV per atom
**Spin magnetization**: 0.0 Bohr magnetons per cell
**Total DFT energy (no corrections)**: -6.516 eV per atom

DFT (PBE-GGA) results for a relaxed SrTa2Zn crystal. Values from VASP.

Quantum ESPRESSO input file:
```
&SYSTEM
  ibrav = 0, nat = 4, ntyp = 3
/
ATOMIC_SPECIES
Sr 87.62 Sr.upf
Ta 180.95 Ta.upf
Zn 65.41 Zn.upf
ATOMIC_POSITIONS angstrom
Sr 0.000 0.000 0.000
Ta 2.080 0.000 2.486
Ta 0.000 2.080 2.486
Zn 0.000 0.000 4.971
CELL_PARAMETERS angstrom
-2.080 2.080 4.971
2.080 -2.080 4.971
2.080 2.080 -4.971
```

**Formation enthalpy at 0 K**: 0.86 eV per atom
**N(E_F)**: 1.29 states/eV per atom
**Spin magnetization**: 0.0 Bohr magnetons per cell

DFT (PBE-GGA) results for a relaxed Dy5AlHg3 crystal. Values from VASP.

Quantum ESPRESSO input file:
```
&SYSTEM
  ibrav = 0, nat = 18, ntyp = 3
/
ATOMIC_SPECIES
Dy 162.50 Dy.upf
Al 26.98 Al.upf
Hg 200.59 Hg.upf
ATOMIC_POSITIONS angstrom
Dy -1.284 2.223 1.656
Dy -3.253 5.634 4.967
Dy 2.567 0.000 1.656
Dy 1.284 2.223 4.967
Dy 0.000 5.238 0.000
Dy 0.000 5.238 3.312
Dy 4.536 2.619 0.000
Dy 4.536 2.619 3.312
Dy 6.506 0.000 4.967
Dy 3.253 5.634 1.656
Al 0.000 0.000 0.000
Al 0.000 0.000 3.312
Hg -1.717 2.974 4.967
Hg -2.819 4.883 1.656
Hg 3.434 0.000 4.967
Hg 1.717 2.974 1.656
Hg 5.639 0.000 1.656
Hg 2.819 4.883 4.967
CELL_PARAMETERS angstrom
9.073 0.000 0.000
-4.536 7.857 0.000
0.000 0.000 6.623
```

**Formation enthalpy at 0 K**: -0.37 eV per atom
**N(E_F)**: 0.97 states/eV per atom
**Spin magnetization**: 0.0 Bohr magnetons per cell

DFT (PBE-GGA) results for a relaxed Sm4Al3Au crystal. Values from VASP.

Quantum ESPRESSO input file:
```
&SYSTEM
  ibrav = 0, nat = 8, ntyp = 3
/
ATOMIC_SPECIES
Sm 150.36 Sm.upf
Al 26.98 Al.upf
Au 196.97 Au.upf
ATOMIC_POSITIONS angstrom
Sm 0.000 0.000 0.000
Sm 0.000 2.287 3.505
Sm 1.897 0.000 5.854
Sm 1.897 2.287 9.536
Al 0.000 0.000 8.473
Al 0.000 2.287 6.897
Al 1.897 2.287 0.950
Au 1.897 0.000 2.586
CELL_PARAMETERS angstrom
3.794 0.000 0.000
0.000 4.574 0.000
0.000 0.000 11.876
```

**Formation enthalpy at 0 K**: -0.46 eV per atom
**N(E_F)**: 1.01 states/eV per atom
**Spin magnetization**: 0.0 Bohr magnetons per cell

DFT (PBE-GGA) results for a relaxed K2Cd6Rh crystal. Values from VASP.

Quantum ESPRESSO input file:
```
&SYSTEM
  ibrav = 0, nat = 9, ntyp = 3
/
ATOMIC_SPECIES
K 39.10 K.upf
Cd 112.41 Cd.upf
Rh 102.91 Rh.upf
ATOMIC_POSITIONS angstrom
K 2.491 2.491 2.491
K 7.472 7.472 7.472
Cd 4.981 4.981 2.283
Cd 4.981 2.283 4.981
Cd 7.680 4.981 4.981
Cd 2.283 4.981 4.981
Cd 4.981 7.680 4.981
Cd 4.981 4.981 7.680
Rh 4.981 4.981 4.981
CELL_PARAMETERS angstrom
0.000 4.981 4.981
4.981 0.000 4.981
4.981 4.981 0.000
```

**Formation enthalpy at 0 K**: -0.05 eV per atom
**N(E_F)**: 0.54 states/eV per atom
**Spin magnetization**: 0.0 Bohr magnetons per cell

Q: Which of these has the highest N(E_F)?
A: SrTa2Zn

Repeat the sixth record exactly.
DFT (PBE-GGA) results for a relaxed K2Cd6Rh crystal. Values from VASP.

Quantum ESPRESSO input file:
```
&SYSTEM
  ibrav = 0, nat = 9, ntyp = 3
/
ATOMIC_SPECIES
K 39.10 K.upf
Cd 112.41 Cd.upf
Rh 102.91 Rh.upf
ATOMIC_POSITIONS angstrom
K 2.491 2.491 2.491
K 7.472 7.472 7.472
Cd 4.981 4.981 2.283
Cd 4.981 2.283 4.981
Cd 7.680 4.981 4.981
Cd 2.283 4.981 4.981
Cd 4.981 7.680 4.981
Cd 4.981 4.981 7.680
Rh 4.981 4.981 4.981
CELL_PARAMETERS angstrom
0.000 4.981 4.981
4.981 0.000 4.981
4.981 4.981 0.000
```

**Formation enthalpy at 0 K**: -0.05 eV per atom
**N(E_F)**: 0.54 states/eV per atom
**Spin magnetization**: 0.0 Bohr magnetons per cell